Density functional theory data (PBE) for a relaxed NdAlHg2 crystal.

The electronic total energy is -2.6132 eV per atom. Its crystal system is orthorhombic.

The structure belongs to space group Cmcm (No. 63); the cell edges are 6.698, 11.657 and 4.860 Å and the angles 90.00°, 90.00° and 90.00°. The distinct sites, in fractional coordinates, are Nd at (0.000, 0.168, 0.250), Al at (0.000, 0.352, 0.750) and Hg at (0.237, 0.415, 0.250).

Density functional theory data (PBE) for a relaxed NdAl2Hg crystal.

Its crystal system is orthorhombic. The value obtained for the polymorph energy (0 for the lowest one) is 0.018 eV per atom.

The structure belongs to space group Ama2 (No. 40); the cell edges are 4.784, 11.436 and 6.561 Å and the angles 90.00°, 90.00° and 90.00°. The distinct sites, in fractional coordinates, are Nd at (0.250, 0.166, 0.000), Al at (0.250, 0.146, 0.486), Al at (0.250, 0.429, 0.775) and Hg at (0.250, 0.415, 0.222).

Density functional theory data (PBE) for a relaxed NdAl2Hg crystal.

Its crystal system is orthorhombic. The value obtained for the polymorph energy (0 for the lowest one) is 0.024 eV per atom.

The structure belongs to space group Cmcm (No. 63); the cell edges are 6.712, 11.314 and 4.729 Å and the angles 90.00°, 90.00° and 90.00°. The distinct sites, in fractional coordinates, are Nd at (0.000, 0.160, 0.250), Al at (0.219, 0.429, 0.250) and Hg at (0.000, 0.344, 0.750).

Density functional theory data (PBE) for a relaxed NdAl2Hg crystal.

Its crystal system is orthorhombic. The value obtained for the polymorph energy (0 for the lowest one) is 0.000 eV per atom.

The structure belongs to space group Amm2 (No. 38); the cell edges are 4.669, 6.571 and 11.748 Å and the angles 90.00°, 90.00° and 90.00°. The distinct sites, in fractional coordinates, are Nd at (0.000, 0.000, 0.000), Nd at (0.500, 0.000, 0.350), Al at (0.000, 0.000, 0.542), Al at (0.000, 0.213, 0.751), Al at (0.500, 0.000, 0.821) and Hg at (0.500, 0.242, 0.604).

Density functional theory data (PBE) for a relaxed AlNi2Hg crystal.

The electronic total energy is -3.7862 eV per atom. Its crystal system is cubic.

The structure belongs to space group F-43m (No. 216); the cell edges are 6.075, 6.075 and 6.075 Å and the angles 90.00°, 90.00° and 90.00°. The distinct sites, in fractional coordinates, are Al at (0.000, 0.000, 0.000), Ni at (0.000, 0.000, 0.500), Ni at (0.250, 0.250, 0.750) and Hg at (0.250, 0.250, 0.250).

Density functional theory data (PBE) for a relaxed Al2NiHg crystal.

The electronic total energy is -3.1647 eV per atom. Its crystal system is cubic.

The structure belongs to space group F-43m (No. 216); the cell edges are 6.364, 6.364 and 6.364 Å and the angles 90.00°, 90.00° and 90.00°. The distinct sites, in fractional coordinates, are Al at (0.000, 0.000, 0.000), Al at (0.250, 0.250, 0.250), Ni at (0.000, 0.000, 0.500) and Hg at (0.250, 0.250, 0.750).

Density functional theory data (PBE) for a relaxed AlNiHgPt crystal.

Its crystal system is cubic. The value obtained for the polymorph energy (0 for the lowest one) is 0.000 eV per atom.

The structure belongs to space group F-43m (No. 216); the cell edges are 6.285, 6.285 and 6.285 Å and the angles 90.00°, 90.00° and 90.00°. The distinct sites, in fractional coordinates, are Al at (0.000, 0.000, 0.000), Ni at (0.250, 0.250, 0.250), Hg at (0.000, 0.000, 0.500) and Pt at (0.250, 0.250, 0.750).

Density functional theory data (PBE) for a relaxed AlReNiHg crystal.

The electronic total energy is -4.9013 eV per atom. Its crystal system is cubic.

The structure belongs to space group F-43m (No. 216); the cell edges are 6.275, 6.275 and 6.275 Å and the angles 90.00°, 90.00° and 90.00°. The distinct sites, in fractional coordinates, are Al at (0.000, 0.000, 0.000), Re at (0.000, 0.000, 0.500), Ni at (0.250, 0.250, 0.250) and Hg at (0.250, 0.250, 0.750).